Record 1
DFT (PBE) results for a relaxed CdHg2Pb crystal.

Lattice parameters (Å, degrees): 6.300 6.300 5.675 116.59 116.59 32.46
Element x y z (fractional)
Cd: 0.000 0.000 0.000
Hg: 0.262 0.262 0.762
Hg: 0.738 0.738 0.238
Pb: 0.500 0.500 0.500

Properties
Size of the total moment: 0.00 μB per formula unit
Calculated formation energy: 0.82 kcal/mol of atoms

***

Record 2
DFT (PBE) results for a relaxed ScGaAg2 crystal.

Lattice parameters (Å, degrees): 3.554 3.554 6.006 90.00 90.00 90.00
Element x y z (fractional)
Sc: 0.000 0.000 0.000
Ga: 0.000 0.000 0.500
Ag: 0.500 0.500 0.250
Ag: 0.500 0.500 0.750

Properties
Size of the total moment: 0.00 μB per formula unit
Calculated formation energy: -4.46 kcal/mol of atoms

***

Record 3
DFT (PBE) results for a relaxed KFeIr2 crystal.

Lattice parameters (Å, degrees): 10.229 10.229 10.229 15.56 15.56 15.56
Element x y z (fractional)
K: 0.000 0.000 0.000
Fe: 0.765 0.765 0.765
Ir: 0.240 0.240 0.240
Ir: 0.499 0.499 0.499

Properties
Size of the total moment: 2.13 μB per formula unit
E above lowest polymorph: 0.79 eV/f.u.
Calculated formation energy: 14.69 kcal/mol of atoms

***

Record 4
DFT (PBE) results for a relaxed Cu12PdN4 crystal.

Lattice parameters (Å, degrees): 7.455 7.455 3.963 90.00 90.00 90.00
Element x y z (fractional)
Cu: 0.000 0.249 0.000
Cu: 0.000 0.751 0.000
Cu: 0.244 0.500 0.000
Cu: 0.246 0.246 0.500
Cu: 0.246 0.754 0.500
Cu: 0.249 0.000 0.000
Cu: 0.500 0.244 0.000
Cu: 0.500 0.756 0.000
Cu: 0.751 0.000 0.000
Cu: 0.754 0.246 0.500
Cu: 0.754 0.754 0.500
Cu: 0.756 0.500 0.000
Pd: 0.500 0.500 0.500
N: 0.000 0.000 0.000
N: 0.000 0.500 0.000
N: 0.500 0.000 0.000
N: 0.500 0.500 0.000

Properties
Size of the total moment: 0.00 μB per formula unit
Formation energy without anion corrections: 737 kJ/mol of formula units